Record 1
A plane-wave DFT calculation with GGA-PBE was carried out for Nd3ErSc7 after structural relaxation.

The structure belongs to space group C2/m (No. 12); the cell edges are 12.131, 10.511 and 5.516 Å and the angles 90.00°, 116.94° and 90.00°. The asymmetric unit holds Nd at (0.000, 0.000, 0.000), Nd at (0.000, 0.217, 0.500), Er at (0.000, 0.500, 0.000), Sc at (0.000, 0.500, 0.500), Sc at (0.209, 0.000, 0.708) and Sc at (0.218, 0.190, 0.218).

---

Record 2
A plane-wave DFT calculation with GGA-PBE was carried out for Nd3Er2Sc after structural relaxation.

As for the energy above the most stable polymorph in this dataset: 0.003 eV per atom.

The structure belongs to space group P-1 (No. 2); the cell edges are 6.155, 7.936 and 8.726 Å and the angles 68.31°, 89.65° and 74.87°. The asymmetric unit holds Nd at (0.040, 0.136, 0.285), Nd at (0.293, 0.873, 0.043), Nd at (0.373, 0.128, 0.626), Er at (0.207, 0.620, 0.461), Er at (0.453, 0.384, 0.204) and Sc at (0.123, 0.381, 0.875).

---

Record 3
A plane-wave DFT calculation with GGA-PBE was carried out for Nd6Er2Sc after structural relaxation.

As for the energy above the most stable polymorph in this dataset: 0.000 eV per atom.

The structure belongs to space group C2/m (No. 12); the cell edges are 11.320, 5.096 and 10.810 Å and the angles 90.00°, 107.94° and 90.00°. The asymmetric unit holds Nd at (0.004, 0.000, 0.174), Nd at (0.167, 0.500, 0.054), Nd at (0.169, 0.500, 0.393), Er at (0.162, 0.500, 0.717) and Sc at (0.000, 0.000, 0.500).

---

Record 4
A plane-wave DFT calculation with GGA-PBE was carried out for Nd8ErSc5 after structural relaxation.

The structure belongs to space group I-4 (No. 82); the cell edges are 9.444, 9.444 and 10.047 Å and the angles 90.00°, 90.00° and 90.00°. The asymmetric unit holds Nd at (0.068, 0.172, 0.340), Nd at (0.096, 0.326, 0.001), Er at (0.000, 0.000, 0.000), Sc at (0.000, 0.500, 0.250) and Sc at (0.106, 0.303, 0.679).

---

Record 5
A plane-wave DFT calculation with GGA-PBE was carried out for Nd12ErSc2 after structural relaxation.

The structure belongs to space group P4/nbm (No. 125, origin choice 2); the cell edges are 6.469, 6.469 and 25.737 Å and the angles 90.00°, 90.00° and 90.00°. The asymmetric unit holds Nd at (0.068, 0.568, 0.114), Nd at (0.081, 0.581, 0.563), Nd at (0.250, 0.250, 0.216), Nd at (0.250, 0.250, 0.335), Er at (0.250, 0.750, 0.000) and Sc at (0.250, 0.750, 0.273).

---

Record 6
A plane-wave DFT calculation with GGA-PBE was carried out for NdErSc3 after structural relaxation.

The structure belongs to space group P-1 (No. 2); the cell edges are 6.164, 6.166 and 8.388 Å and the angles 75.66°, 74.44° and 65.98°. The asymmetric unit holds Nd at (0.233, 0.232, 0.002), Er at (0.203, 0.684, 0.226), Sc at (0.154, 0.145, 0.408), Sc at (0.308, 0.814, 0.759) and Sc at (0.350, 0.355, 0.597).

---

| no. | ΔE_f (eV per atom) |
| --- | --- |
| 1 | 0.31 |
| 2 | 0.04 |
| 3 | 0.03 |
| 4 | 0.26 |
| 5 | 0.37 |
| 6 | 0.04 |